No. 1
# Ti2ReMo6W3

Crystalline Ti2ReMo6W3 at its relaxed geometry (GGA-PBE, Alexandria).

CIF file:
```
data_Ti2ReMo6W3
_chemical_formula_sum 'Ti2 Re1 Mo6 W3'
_cell_length_a 4.7888
_cell_length_b 4.7888
_cell_length_c 9.1352
_cell_angle_alpha 90.08
_cell_angle_beta 90.08
_cell_angle_gamma 111.86
_symmetry_space_group_name_H-M 'P 1'
_symmetry_Int_Tables_number 1
loop_
_symmetry_equiv_pos_as_xyz
'x,y,z'
loop_
_atom_site_label
_atom_site_type_symbol
_atom_site_fract_x
_atom_site_fract_y
_atom_site_fract_z
Ti1 Ti 0.1732 0.8268 0.0000
Ti2 Ti 0.8268 0.1732 0.0000
Re1 Re 0.5000 0.5000 0.0000
Mo1 Mo 0.0835 0.4158 0.2511
Mo2 Mo 0.2533 0.2533 0.7572
Mo3 Mo 0.4158 0.0835 0.2511
Mo4 Mo 0.5842 0.9165 0.7489
Mo5 Mo 0.7467 0.7467 0.2428
Mo6 Mo 0.9165 0.5842 0.7489
W1 W 0.0000 0.0000 0.5000
W2 W 0.3346 0.6654 0.5000
W3 W 0.6654 0.3346 0.5000
```

Computed properties:
- calculated formation energy (eV/atom) = 0.187

No. 2
# Ta6CrW5

Crystalline Ta6CrW5 at its relaxed geometry (GGA-PBE, Alexandria).

CIF file:
```
data_Ta6CrW5
_chemical_formula_sum 'Ta6 Cr1 W5'
_cell_length_a 7.8945
_cell_length_b 7.8945
_cell_length_c 7.8945
_cell_angle_alpha 146.49
_cell_angle_beta 131.67
_cell_angle_gamma 60.10
_symmetry_space_group_name_H-M 'P 1'
_symmetry_Int_Tables_number 1
loop_
_symmetry_equiv_pos_as_xyz
'x,y,z'
loop_
_atom_site_label
_atom_site_type_symbol
_atom_site_fract_x
_atom_site_fract_y
_atom_site_fract_z
Ta1 Ta 0.0828 0.3351 0.7477
Ta2 Ta 0.2454 0.0000 0.2454
Ta3 Ta 0.4126 0.6649 0.7477
Ta4 Ta 0.5874 0.3351 0.2523
Ta5 Ta 0.7546 0.0000 0.7546
Ta6 Ta 0.9172 0.6649 0.2523
Cr1 Cr 0.0000 0.5000 0.5000
W1 W 0.1665 0.1665 0.0000
W2 W 0.3339 0.8339 0.5000
W3 W 0.5000 0.5000 0.0000
W4 W 0.6661 0.1661 0.5000
W5 W 0.8335 0.8335 0.0000
```

Computed properties:
- calculated formation energy (eV/atom) = -0.077

No. 3
# CsZnAg3

Crystalline CsZnAg3 at its relaxed geometry (GGA-PBE, Alexandria).

CIF file:
```
data_CsZnAg3
_chemical_formula_sum 'Cs1 Zn1 Ag3'
_cell_length_a 5.2186
_cell_length_b 5.2186
_cell_length_c 5.2186
_cell_angle_alpha 90.00
_cell_angle_beta 90.00
_cell_angle_gamma 90.00
_symmetry_space_group_name_H-M 'P 1'
_symmetry_Int_Tables_number 1
loop_
_symmetry_equiv_pos_as_xyz
'x,y,z'
loop_
_atom_site_label
_atom_site_type_symbol
_atom_site_fract_x
_atom_site_fract_y
_atom_site_fract_z
Cs1 Cs 0.0000 0.0000 0.0000
Zn1 Zn 0.5000 0.5000 0.5000
Ag1 Ag 0.0000 0.5000 0.5000
Ag2 Ag 0.5000 0.0000 0.5000
Ag3 Ag 0.5000 0.5000 0.0000
```

Computed properties:
- energy relative to the lowest polymorph listed for this composition (meV/atom) = 147.0
- calculated formation energy (eV/atom) = 0.216

No. 4
# Eu6Gd

Crystalline Eu6Gd at its relaxed geometry (GGA-PBE, Alexandria).

CIF file:
```
data_Eu6Gd
_chemical_formula_sum 'Eu6 Gd1'
_cell_length_a 7.3704
_cell_length_b 7.3704
_cell_length_c 7.3704
_cell_angle_alpha 109.47
_cell_angle_beta 109.47
_cell_angle_gamma 109.47
_symmetry_space_group_name_H-M 'P 1'
_symmetry_Int_Tables_number 1
loop_
_symmetry_equiv_pos_as_xyz
'x,y,z'
loop_
_atom_site_label
_atom_site_type_symbol
_atom_site_fract_x
_atom_site_fract_y
_atom_site_fract_z
Eu1 Eu 0.2500 0.5000 0.7500
Eu2 Eu 0.2500 0.7500 0.5000
Eu3 Eu 0.5000 0.2500 0.7500
Eu4 Eu 0.5000 0.7500 0.2500
Eu5 Eu 0.7500 0.2500 0.5000
Eu6 Eu 0.7500 0.5000 0.2500
Gd1 Gd 0.0000 0.0000 0.0000
```

Computed properties:
- calculated formation energy (eV/atom) = 1.082

No. 5
# BeTc2Ir

Crystalline BeTc2Ir at its relaxed geometry (GGA-PBE, Alexandria).

CIF file:
```
data_BeTc2Ir
_chemical_formula_sum 'Be1 Tc2 Ir1'
_cell_length_a 2.7954
_cell_length_b 2.7954
_cell_length_c 6.5798
_cell_angle_alpha 90.00
_cell_angle_beta 90.00
_cell_angle_gamma 90.00
_symmetry_space_group_name_H-M 'P 1'
_symmetry_Int_Tables_number 1
loop_
_symmetry_equiv_pos_as_xyz
'x,y,z'
loop_
_atom_site_label
_atom_site_type_symbol
_atom_site_fract_x
_atom_site_fract_y
_atom_site_fract_z
Be1 Be 0.0000 0.0000 0.0000
Tc1 Tc 0.0000 0.0000 0.4892
Tc2 Tc 0.5000 0.5000 0.7651
Ir1 Ir 0.5000 0.5000 0.1992
```

Computed properties:
- calculated formation energy (eV/atom) = -0.209

No. 6
# YHfGa2

Crystalline YHfGa2 at its relaxed geometry (GGA-PBE, Alexandria).

CIF file:
```
data_YHfGa2
_chemical_formula_sum 'Y1 Hf1 Ga2'
_cell_length_a 3.5705
_cell_length_b 3.5705
_cell_length_c 6.4920
_cell_angle_alpha 90.00
_cell_angle_beta 90.00
_cell_angle_gamma 90.00
_symmetry_space_group_name_H-M 'P 1'
_symmetry_Int_Tables_number 1
loop_
_symmetry_equiv_pos_as_xyz
'x,y,z'
loop_
_atom_site_label
_atom_site_type_symbol
_atom_site_fract_x
_atom_site_fract_y
_atom_site_fract_z
Y1 Y 0.0000 0.0000 0.0000
Hf1 Hf 0.0000 0.0000 0.5000
Ga1 Ga 0.5000 0.5000 0.2801
Ga2 Ga 0.5000 0.5000 0.7199
```

Computed properties:
- energy relative to the lowest polymorph listed for this composition (meV/atom) = 0.0
- calculated formation energy (eV/atom) = -0.423

No. 7
# Sr2ErPbO6

Crystalline Sr2ErPbO6 at its relaxed geometry (GGA-PBE, Alexandria).

CIF file:
```
data_Sr2ErPbO6
_chemical_formula_sum 'Sr4 Er2 Pb2 O12'
_cell_length_a 5.9658
_cell_length_b 6.1017
_cell_length_c 10.3577
_cell_angle_alpha 90.00
_cell_angle_beta 124.97
_cell_angle_gamma 90.00
_symmetry_space_group_name_H-M 'P 1'
_symmetry_Int_Tables_number 1
loop_
_symmetry_equiv_pos_as_xyz
'x,y,z'
loop_
_atom_site_label
_atom_site_type_symbol
_atom_site_fract_x
_atom_site_fract_y
_atom_site_fract_z
Sr1 Sr 0.2358 0.0468 0.2497
Sr2 Sr 0.2358 0.4532 0.7497
Sr3 Sr 0.7642 0.5468 0.2503
Sr4 Sr 0.7642 0.9532 0.7503
Er1 Er 0.5000 0.0000 0.0000
Er2 Er 0.5000 0.5000 0.5000
Pb1 Pb 0.0000 0.0000 0.5000
Pb2 Pb 0.0000 0.5000 0.0000
O1 O 0.1504 0.2098 0.9469
O2 O 0.1504 0.2902 0.4469
O3 O 0.2399 0.7067 0.9475
O4 O 0.2399 0.7933 0.4475
O5 O 0.3475 0.0392 0.7480
O6 O 0.3475 0.4608 0.2480
O7 O 0.6525 0.5392 0.7520
O8 O 0.6525 0.9608 0.2520
O9 O 0.7601 0.2067 0.5525
O10 O 0.7601 0.2933 0.0525
O11 O 0.8496 0.7098 0.5531
O12 O 0.8496 0.7902 0.0531
```

Computed properties:
- E (eV/atom) = -6.41

No. 8
# CaSbAs2Se

Crystalline CaSbAs2Se at its relaxed geometry (GGA-PBE, Alexandria).

CIF file:
```
data_CaSbAs2Se
_chemical_formula_sum 'Ca1 Sb1 As2 Se1'
_cell_length_a 5.3784
_cell_length_b 5.3784
_cell_length_c 5.2573
_cell_angle_alpha 90.00
_cell_angle_beta 90.00
_cell_angle_gamma 90.00
_symmetry_space_group_name_H-M 'P 1'
_symmetry_Int_Tables_number 1
loop_
_symmetry_equiv_pos_as_xyz
'x,y,z'
loop_
_atom_site_label
_atom_site_type_symbol
_atom_site_fract_x
_atom_site_fract_y
_atom_site_fract_z
Ca1 Ca 0.0000 0.0000 0.0000
Sb1 Sb 0.5000 0.5000 0.5000
As1 As 0.0000 0.5000 0.0000
As2 As 0.5000 0.0000 0.0000
Se1 Se 0.0000 0.0000 0.5000
```

Computed properties:
- energy relative to the lowest polymorph listed for this composition (meV/atom) = 526.3

Number 1: D(E_F) 0.7183 states/eV/atom, spin magnetization 0.0 μB/f.u.. Number 2: D(E_F) 0.9148 states/eV/atom, spin magnetization 0.0 μB/f.u.. Number 3: D(E_F) 0.2718 states/eV/atom, spin magnetization 0.0 μB/f.u.. Number 4: D(E_F) 2.6145 states/eV/atom, spin magnetization 52.9 μB/f.u.. Number 5: D(E_F) 0.8922 states/eV/atom, spin magnetization 0.0 μB/f.u.. Number 6: D(E_F) 0.8926 states/eV/atom, spin magnetization 0.0 μB/f.u.. Number 7: D(E_F) 1.0458 states/eV/atom, spin magnetization 1.1 μB/f.u.. Number 8: D(E_F) 1.3186 states/eV/atom, spin magnetization 0.0 μB/f.u..